# 1
The following is a GGA-PBE calculation of a geometry-optimized Ba3TeO4 structure, from Alexandria via LeMat-Bulk.

Space-group type: Pmn2_1
Formation energy (no corrections) in eV per formula unit: -16.3
Total moment in μB per formula unit: 0.00

a b c (Å): 5.5181 8.3532 8.7066
angles (deg): 90.00 90.00 90.00
Element x y z (fractional)
O 0.5410 0.6836 0.2455
O 0.0410 0.3164 0.7455
O 0.2158 0.8132 0.5000
O 0.7158 0.1868 0.0000
O 0.5410 0.6836 0.7545
O 0.0410 0.3164 0.2545
O 0.0558 0.8072 0.0000
O 0.5558 0.1928 0.5000
Ba 0.5457 0.8778 0.0000
Ba 0.0411 0.6587 0.2431
Ba 0.5411 0.3413 0.7431
Ba 0.5411 0.3413 0.2569
Ba 0.0411 0.6587 0.7569
Ba 0.0457 0.1222 0.5000
Te 0.5340 0.7051 0.5000
Te 0.0340 0.2949 0.0000

=====

# 2
The following is a GGA-PBE calculation of a geometry-optimized LiTiAlRu structure, from Alexandria via LeMat-Bulk.

Space-group type: F-43m
ΔH_f (0 K) in eV per formula unit: -1.77
Total moment in μB per formula unit: 0.00

a b c (Å): 4.3143 4.3143 4.3143
angles (deg): 60.00 60.00 60.00
Element x y z (fractional)
Li 0.7500 0.7500 0.7500
Ti 0.0000 0.0000 0.0000
Al 0.5000 0.5000 0.5000
Ru 0.2500 0.2500 0.2500

=====

# 3
The following is a GGA-PBE calculation of a geometry-optimized Ba2HgPd2 structure, from Alexandria via LeMat-Bulk.

Space-group type: P4/mbm
ΔH_f (0 K) in eV per formula unit: -1.50
Total moment in μB per formula unit: 0.00

a b c (Å): 9.0734 9.0734 4.0032
angles (deg): 90.00 90.00 90.00
Element x y z (fractional)
Pd 0.6154 0.8846 0.5000
Pd 0.8846 0.3846 0.5000
Pd 0.1154 0.6154 0.5000
Pd 0.3846 0.1154 0.5000
Hg 0.5000 0.5000 0.0000
Hg 0.0000 0.0000 0.0000
Ba 0.1652 0.3348 0.0000
Ba 0.3348 0.8348 0.0000
Ba 0.6652 0.1652 0.0000
Ba 0.8348 0.6652 0.0000

=====

# 4
The following is a GGA-PBE calculation of a geometry-optimized SrLiHfH2 structure, from Alexandria via LeMat-Bulk.

Space-group type: P4/mmm
Energy in eV/atom: -3.40
Total moment in μB per formula unit: 1.04

a b c (Å): 4.0727 6.5720 4.0727
angles (deg): 90.00 90.00 90.00
Element x y z (fractional)
Hf 0.0000 0.0000 0.0000
H 0.5000 0.0000 0.0000
H 0.0000 0.0000 0.5000
Li 0.5000 0.5000 0.5000
Sr 0.0000 0.5000 0.0000

=====

# 5
The following is a GGA-PBE calculation of a geometry-optimized Mg6Rh5Au structure, from Alexandria via LeMat-Bulk.

Space-group type: Cmmm
ΔH_f (0 K) in eV per formula unit: -6.27
Total moment in μB per formula unit: 0.00

a b c (Å): 4.4232 6.3361 6.9981
angles (deg): 90.00 71.58 90.00
Element x y z (fractional)
Mg 0.8292 0.2548 0.3417
Mg 0.1708 0.2548 0.6583
Mg 0.5000 0.7398 0.0000
Mg 0.8292 0.7452 0.3417
Mg 0.5000 0.2602 0.0000
Mg 0.1708 0.7452 0.6583
Rh 0.6639 0.0000 0.6723
Rh 0.0000 0.5000 0.0000
Rh 0.3361 0.0000 0.3277
Rh 0.6653 0.5000 0.6694
Rh 0.3347 0.5000 0.3306
Au 0.0000 0.0000 0.0000

=====

# 6
The following is a GGA-PBE calculation of a geometry-optimized CsP2SO8 structure, from Alexandria via LeMat-Bulk.

Space-group type: C2/m
Formation energy (no corrections) in eV per formula unit: -18.3
Total moment in μB per formula unit: 0.00

a b c (Å): 5.0481 4.7063 9.3911
angles (deg): 73.31 74.41 57.57
Element x y z (fractional)
S 0.0000 0.0000 0.0000
P 0.7003 0.7688 0.8305
P 0.2997 0.2312 0.1695
O 0.7860 0.4619 0.9662
O 0.8210 0.0031 0.8522
O 0.6763 0.9969 0.1478
O 0.2140 0.5381 0.0338
O 0.1790 0.9969 0.1478
O 0.1847 0.3051 0.3255
O 0.8153 0.6949 0.6745
O 0.3237 0.0031 0.8522
Cs 0.5000 0.5000 0.5000

=====

# 7
The following is a GGA-PBE calculation of a geometry-optimized CsPa2Tl2O7 structure, from Alexandria via LeMat-Bulk.

Space-group type: C2/m
Formation energy (no corrections) in eV per formula unit: -28.9
Total moment in μB per formula unit: 0.00

a b c (Å): 4.3538 4.4448 13.0285
angles (deg): 90.53 99.62 90.00
Element x y z (fractional)
Pa 0.4128 0.4953 0.8257
Pa 0.5871 0.5047 0.1743
O 0.0848 0.5047 0.1695
O 0.4059 0.9949 0.8118
O 0.5941 0.0051 0.1882
O 0.3266 0.4913 0.6531
O 0.6734 0.5086 0.3469
O 0.9152 0.4952 0.8305
O 0.5000 0.5000 0.0000
Tl 0.3002 0.9885 0.6004
Tl 0.6998 0.0114 0.3995
Cs 0.0000 0.0000 0.0000

=====

# 8
The following is a GGA-PBE calculation of a geometry-optimized ThCuPd5 structure, from Alexandria via LeMat-Bulk.

Space-group type: P4/mmm
ΔH_f (0 K) in eV per formula unit: -3.13
Total moment in μB per formula unit: 0.00

a b c (Å): 4.2550 4.2550 6.9244
angles (deg): 90.00 90.00 90.00
Element x y z (fractional)
Pd 0.5000 0.0000 0.2909
Pd 0.0000 0.5000 0.7091
Pd 0.5000 0.5000 0.0000
Pd 0.5000 0.0000 0.7091
Pd 0.0000 0.5000 0.2909
Cu 0.0000 0.0000 0.5000
Th 0.0000 0.0000 0.0000

=====

# 9
The following is a GGA-PBE calculation of a geometry-optimized Gd3ZnC structure, from Alexandria via LeMat-Bulk.

Space-group type: Pm-3m
ΔH_f (0 K) in eV per formula unit: -1.09
Total moment in μB per formula unit: 22.36

a b c (Å): 4.9407 4.9407 4.9407
angles (deg): 90.00 90.00 90.00
Element x y z (fractional)
Gd 0.5000 0.0000 0.0000
Gd 0.0000 0.5000 0.0000
Gd 0.0000 0.0000 0.5000
C 0.0000 0.0000 0.0000
Zn 0.5000 0.5000 0.5000

=====

# 10
The following is a GGA-PBE calculation of a geometry-optimized TcPb3Se structure, from Alexandria via LeMat-Bulk.

Space-group type: Pm-3m
Relative energy among the computed polymorphs in meV/atom: 841.1
Formation energy (no corrections) in eV per formula unit: 5.4
Total moment in μB per formula unit: 3.73

a b c (Å): 5.6217 5.6217 5.6217
angles (deg): 90.00 90.00 90.00
Element x y z (fractional)
Se 0.0000 0.0000 0.0000
Tc 0.5000 0.5000 0.5000
Pb 0.0000 0.0000 0.5000
Pb 0.0000 0.5000 0.0000
Pb 0.5000 0.0000 0.0000

=====

# 11
The following is a GGA-PBE calculation of a geometry-optimized TlPH2 structure, from Alexandria via LeMat-Bulk.

Space-group type: P1
Relative energy among the computed polymorphs in meV/atom: 0.0
Total moment in μB per formula unit: 0.00

a b c (Å): 6.4154 7.4169 4.0510
angles (deg): 141.12 73.89 130.66
Element x y z (fractional)
H 0.5495 0.0150 0.0096
H 0.7317 0.3157 0.8144
P 0.8533 0.3671 0.5128
Tl 0.2001 0.2655 0.6521

=====

# 12
The following is a GGA-PBE calculation of a geometry-optimized CaSnP structure, from Alexandria via LeMat-Bulk.

Space-group type: P-1
ΔH_f (0 K) in eV per formula unit: -1.83
Total moment in μB per formula unit: 0.00

a b c (Å): 4.7755 5.5446 6.6011
angles (deg): 104.61 93.46 108.80
Element x y z (fractional)
Ca 0.3409 0.7733 0.1741
Ca 0.6591 0.2267 0.8259
P 0.8180 0.8062 0.9161
P 0.1820 0.1938 0.0839
Sn 0.1748 0.3171 0.4973
Sn 0.8252 0.6829 0.5027

=====

# 13
The following is a GGA-PBE calculation of a geometry-optimized Ba3BrN structure, from Alexandria via LeMat-Bulk.

Space-group type: Cm
Relative energy among the computed polymorphs in meV/atom: 0.0
Formation energy (no corrections) in eV per formula unit: -4.2
Total moment in μB per formula unit: 0.29

a b c (Å): 8.1023 7.9007 8.0320
angles (deg): 62.73 77.06 60.81
Element x y z (fractional)
Ba 0.9381 0.6917 0.9054
Ba 0.6816 0.7966 0.3666
Ba 0.1909 0.0448 0.8901
Ba 0.1950 0.5399 0.3663
Ba 0.6857 0.2974 0.8903
Ba 0.9384 0.1949 0.4091
Br 0.5719 0.0940 0.6243
Br 0.3047 0.7271 0.6243
N 0.9384 0.3825 0.5946
N 0.9382 0.8810 0.0900

=====

# 14
The following is a GGA-PBE calculation of a geometry-optimized Ag2PO3F structure, from Alexandria via LeMat-Bulk.

Space-group type: C2/c
Formation energy (no corrections) in eV per formula unit: -9.9
Total moment in μB per formula unit: 0.00

a b c (Å): 5.5732 5.5732 15.6766
angles (deg): 81.34 81.34 60.86
Element x y z (fractional)
O 0.8130 0.5188 0.1905
O 0.5188 0.8130 0.6905
O 0.4812 0.1870 0.3095
O 0.7869 0.3228 0.6394
O 0.9822 0.6628 0.5982
O 0.3228 0.7869 0.1394
O 0.0178 0.3372 0.4018
O 0.1870 0.4812 0.8095
O 0.6772 0.2131 0.8606
O 0.6628 0.9822 0.0982
O 0.3372 0.0178 0.9018
O 0.2131 0.6772 0.3606
Ag 0.7092 0.6370 0.8366
Ag 0.6370 0.7092 0.3366
Ag 0.3630 0.2908 0.6634
Ag 0.0000 0.0000 0.0000
Ag 0.9666 0.0334 0.2500
Ag 0.0000 0.0000 0.5000
Ag 0.0334 0.9666 0.7500
Ag 0.2908 0.3630 0.1634
P 0.2752 0.3755 0.3780
P 0.6245 0.7248 0.1220
P 0.3755 0.2752 0.8780
P 0.7248 0.6245 0.6220
F 0.7330 0.5639 0.0359
F 0.5639 0.7330 0.5359
F 0.4361 0.2670 0.4641
F 0.2670 0.4361 0.9641

=====

# 15
The following is a GGA-PBE calculation of a geometry-optimized RuRhF2 structure, from Alexandria via LeMat-Bulk.

Space-group type: R-3m
Relative energy among the computed polymorphs in meV/atom: 0.0
Formation energy (no corrections) in eV per formula unit: -1.8
Total moment in μB per formula unit: 0.84

a b c (Å): 8.2163 8.2163 8.2163
angles (deg): 18.77 18.77 18.77
Element x y z (fractional)
Rh 0.5000 0.5000 0.5000
F 0.9184 0.9184 0.9184
F 0.0816 0.0816 0.0816
Ru 0.0000 0.0000 0.0000

=====

# 16
The following is a GGA-PBE calculation of a geometry-optimized Ti2BeSb structure, from Alexandria via LeMat-Bulk.

Space-group type: I-42d
Relative energy among the computed polymorphs in meV/atom: 34.0
Formation energy (no corrections) in eV per formula unit: 0.3
Total moment in μB per formula unit: 0.00

a b c (Å): 7.0805 7.0805 5.7015
angles (deg): 51.62 51.62 90.00
Element x y z (fractional)
Ti 0.1502 0.6250 0.2500
Ti 0.8750 0.8498 0.7500
Ti 0.5998 0.1250 0.2500
Ti 0.3750 0.4002 0.7500
Sb 0.0000 0.0000 0.0000
Sb 0.7500 0.2500 0.5000
Be 0.5000 0.5000 0.0000
Be 0.2500 0.7500 0.5000

=====

# 17
The following is a GGA-PBE calculation of a geometry-optimized Er2ZrZn structure, from Alexandria via LeMat-Bulk.

Space-group type: R-3m
Relative energy among the computed polymorphs in meV/atom: 389.8
ΔH_f (0 K) in eV per formula unit: 0.98
Total moment in μB per formula unit: 0.00

a b c (Å): 3.2489 3.2489 11.2999
angles (deg): 81.73 81.73 60.00
Element x y z (fractional)
Er 0.9041 0.9041 0.2877
Er 0.0959 0.0959 0.7123
Zr 0.0000 0.0000 0.0000
Zn 0.5000 0.5000 0.5000

=====

# 18
The following is a GGA-PBE calculation of a geometry-optimized K6In3I14 structure, from Alexandria via LeMat-Bulk.

Space-group type: P3
Formation energy (no corrections) in eV per formula unit: -23.0
Total moment in μB per formula unit: 0.00

a b c (Å): 7.2127 13.0617 13.0617
angles (deg): 120.00 90.00 90.00
Element x y z (fractional)
I 0.4625 0.0000 0.0000
I 0.9866 0.1406 0.9153
I 0.9866 0.0847 0.2254
I 0.4968 0.2462 0.4404
I 0.2408 0.5117 0.0919
I 0.2408 0.5802 0.4883
I 0.9866 0.7746 0.8594
I 0.4968 0.1942 0.7538
I 0.7063 0.4265 0.2456
I 0.2408 0.9081 0.4198
I 0.7063 0.8191 0.5735
I 0.7063 0.7544 0.1809
I 0.4968 0.5596 0.8058
I 0.9754 0.3333 0.6667
K 0.7493 0.0086 0.4585
K 0.7493 0.4499 0.9914
K 0.2312 0.3243 0.2103
K 0.2312 0.8859 0.6757
K 0.7493 0.5415 0.5501
K 0.2312 0.7897 0.1141
In 0.8423 0.0000 0.0000
In 0.4726 0.6667 0.3333
In 0.3569 0.3333 0.6667

=====

# 19
The following is a GGA-PBE calculation of a geometry-optimized Cs2WI6Br structure, from Alexandria via LeMat-Bulk.

Space-group type: I4/mmm
Formation energy (no corrections) in eV per formula unit: -5.8
Total moment in μB per formula unit: 1.00

a b c (Å): 8.7813 8.7813 8.8469
angles (deg): 60.24 60.24 90.00
Element x y z (fractional)
I 0.2188 0.2188 0.5623
I 0.2221 0.2221 0.0000
I 0.7812 0.7812 0.4377
I 0.2221 0.7779 0.0000
I 0.7779 0.7779 0.0000
I 0.7779 0.2221 0.0000
Br 0.5000 0.5000 0.0000
W 0.0000 0.0000 0.0000
Cs 0.7500 0.2500 0.5000
Cs 0.2500 0.7500 0.5000

=====

# 20
The following is a GGA-PBE calculation of a geometry-optimized Ce2PmErP4 structure, from Alexandria via LeMat-Bulk.

Space-group type: P2/m
ΔH_f (0 K) in eV per formula unit: -12.34
Total moment in μB per formula unit: 0.99

a b c (Å): 4.0706 7.0375 7.0518
angles (deg): 70.50 90.00 90.00
Element x y z (fractional)
P 0.5000 0.2520 0.7443
P 0.0000 0.2482 0.2557
P 0.5000 0.7480 0.2557
P 0.0000 0.7518 0.7443
Ce 0.0000 0.0000 0.0000
Ce 0.5000 0.0000 0.5000
Pm 0.5000 0.5000 0.0000
Er 0.0000 0.5000 0.5000